CrH2Se | PBEsol | relaxed

The space group is I4_1/amd (No. 141, origin choice 2) and the conventional cell measures 3.586, 3.586 and 12.459 Å, with angles of 90.00, 90.00 and 90.00 degrees. The distinct sites, in fractional coordinates, are Cr at (0.000, 0.250, 0.375), H at (0.000, 0.000, 0.500) and Se at (0.000, 0.250, 0.875).

The calculation puts the density of states at the Fermi level at 2.168 states/eV/f.u. Its raw total energy is -4.85 eV per atom.